1.
# ZnInSN2, PBEsol geometry, DFT meta-GGA SCAN
data_ZnInSN2
_symmetry_space_group_name_H-M 'P 1'
_symmetry_Int_Tables_number 1
_cell_length_a 3.865
_cell_length_b 3.865
_cell_length_c 5.131
_cell_angle_alpha 90.00
_cell_angle_beta 90.00
_cell_angle_gamma 90.00
loop_
_symmetry_equiv_pos_as_xyz
'x,y,z'
loop_
_atom_site_label
_atom_site_type_symbol
_atom_site_fract_x
_atom_site_fract_y
_atom_site_fract_z
_atom_site_occupancy
Zn1 Zn 0.000 0.000 0.000 1
N1 N 0.000 0.500 0.000 1
N2 N 0.500 0.000 0.000 1
S1 S 0.000 0.000 0.500 1
In1 In 0.500 0.500 0.500 1
# Calculated density = 5.2 g/cm3
# Symmetry = P4/mmm, No. 123
# Distance to the lowest polymorph of the same formula = 0.000 eV/atom
# Crystal system = tetragonal
# Uncorrected energy = -13.95 eV per atom

***

2.
# SbTePtAu2, PBEsol geometry, DFT meta-GGA SCAN
data_SbTePtAu2
_symmetry_space_group_name_H-M 'P 1'
_symmetry_Int_Tables_number 1
_cell_length_a 4.912
_cell_length_b 4.912
_cell_length_c 5.934
_cell_angle_alpha 90.00
_cell_angle_beta 90.00
_cell_angle_gamma 90.00
loop_
_symmetry_equiv_pos_as_xyz
'x,y,z'
loop_
_atom_site_label
_atom_site_type_symbol
_atom_site_fract_x
_atom_site_fract_y
_atom_site_fract_z
_atom_site_occupancy
Sb1 Sb 0.000 0.000 0.500 1
Te1 Te 0.000 0.000 0.000 1
Au1 Au 0.000 0.500 0.000 1
Au2 Au 0.500 0.000 0.000 1
Pt1 Pt 0.500 0.500 0.500 1
# Calculated density = 9.7 g/cm3
# Symmetry = P4/mmm, No. 123
# Crystal system = tetragonal
# Uncorrected energy = -55.49 eV per atom

***

3.
# YZrCd, PBEsol geometry, DFT meta-GGA SCAN
data_YZrCd
_symmetry_space_group_name_H-M 'P 1'
_symmetry_Int_Tables_number 1
_cell_length_a 4.903
_cell_length_b 4.903
_cell_length_c 4.903
_cell_angle_alpha 60.00
_cell_angle_beta 60.00
_cell_angle_gamma 60.00
loop_
_symmetry_equiv_pos_as_xyz
'x,y,z'
loop_
_atom_site_label
_atom_site_type_symbol
_atom_site_fract_x
_atom_site_fract_y
_atom_site_fract_z
_atom_site_occupancy
Cd1 Cd 0.500 0.500 0.500 1
Y1 Y 0.250 0.250 0.250 1
Zr1 Zr 0.000 0.000 0.000 1
# Calculated density = 5.8 g/cm3
# Symmetry = F-43m, No. 216
# Crystal system = cubic
# Uncorrected energy = -28.82 eV per atom
# ΔE_f = 830 meV per atom

***

4.
# LaMg2Co, PBEsol geometry, DFT meta-GGA SCAN
data_LaMg2Co
_symmetry_space_group_name_H-M 'P 1'
_symmetry_Int_Tables_number 1
_cell_length_a 3.221
_cell_length_b 3.221
_cell_length_c 8.242
_cell_angle_alpha 90.00
_cell_angle_beta 90.00
_cell_angle_gamma 90.00
loop_
_symmetry_equiv_pos_as_xyz
'x,y,z'
loop_
_atom_site_label
_atom_site_type_symbol
_atom_site_fract_x
_atom_site_fract_y
_atom_site_fract_z
_atom_site_occupancy
Co1 Co 0.000 0.000 0.478 1
La1 La 0.500 0.500 0.686 1
Mg1 Mg 0.000 0.000 0.033 1
Mg2 Mg 0.500 0.500 0.303 1
# Calculated density = 4.8 g/cm3
# Symmetry = P4mm, No. 99
# Crystal system = tetragonal
# Uncorrected energy = -17.57 eV per atom
# ΔE_f = 18 meV per atom

***

Q: What is the formula in the first record?
A: ZnInSN2

***

Q: Among the records above, which one has the lowest calculated density?
A: LaMg2Co